# 1
# NdTeI2 | the Alexandria database | PBE | relaxed
# DOS at the Fermi energy = 0.703 states/eV/atom
# E_form (uncorrected) = -1.028 eV per atom
data_NdTeI2
_space_group_name_H-M_alt 'C m c m'
_space_group_IT_number 63
_space_group_name_Hall '-C 2c 2'
_cell_length_a 4.2561
_cell_length_b 15.4092
_cell_length_c 9.7616
_cell_angle_alpha 90.00
_cell_angle_beta 90.00
_cell_angle_gamma 90.00
loop_
_atom_site_label
_atom_site_type_symbol
_atom_site_fract_x
_atom_site_fract_y
_atom_site_fract_z
_atom_site_occupancy
Nd1 Nd 0.0000 0.2460 0.2500 1
Te1 Te 0.0000 0.4007 0.7500 1
I1 I 0.0000 0.1453 0.5572 1



# 2
# PmMnCuSe3 | the Alexandria database | PBE | relaxed
# DOS at the Fermi energy = 0.130 states/eV/atom
# E_form (uncorrected) = -0.951 eV per atom
data_PmMnCuSe3
_space_group_name_H-M_alt 'P 1 21/m 1'
_space_group_IT_number 11
_space_group_name_Hall '-P 2yb'
_cell_length_a 7.8663
_cell_length_b 3.9387
_cell_length_c 8.7461
_cell_angle_alpha 90.00
_cell_angle_beta 103.05
_cell_angle_gamma 90.00
loop_
_atom_site_label
_atom_site_type_symbol
_atom_site_fract_x
_atom_site_fract_y
_atom_site_fract_z
_atom_site_occupancy
Pm1 Pm 0.1900 0.2500 0.2467 1
Mn1 Mn 0.3338 0.7500 0.8400 1
Cu1 Cu 0.0805 0.2500 0.5822 1
Se1 Se 0.0971 0.2500 0.8671 1
Se2 Se 0.2505 0.7500 0.5187 1
Se3 Se 0.4278 0.7500 0.1521 1



# 3
# Pm3PuIr2 | the Alexandria database | PBE | relaxed
# calculated formation energy = -0.472 eV/atom
# DOS at the Fermi energy = 1.913 states/eV/atom
data_Pm3PuIr2
_space_group_name_H-M_alt 'C 1 2/m 1'
_space_group_IT_number 12
_space_group_name_Hall '-C 2y'
_cell_length_a 16.6032
_cell_length_b 4.3232
_cell_length_c 10.8253
_cell_angle_alpha 90.00
_cell_angle_beta 116.24
_cell_angle_gamma 90.00
loop_
_atom_site_label
_atom_site_type_symbol
_atom_site_fract_x
_atom_site_fract_y
_atom_site_fract_z
_atom_site_occupancy
Pm1 Pm 0.0522 0.0000 0.2156 1
Pm2 Pm 0.1652 0.5000 0.0169 1
Pm3 Pm 0.2110 0.0000 0.5986 1
Pu1 Pu 0.0653 0.5000 0.6502 1
Ir1 Ir 0.1185 0.5000 0.4106 1
Ir2 Ir 0.1366 0.0000 0.8264 1



# 4
# Cr4Pt5 | the Alexandria database | PBE | relaxed
# calculated formation energy = -0.160 eV/atom
# DOS at the Fermi energy = 1.147 states/eV/atom
data_Cr4Pt5
_space_group_name_H-M_alt 'I 4/m m m'
_space_group_IT_number 139
_space_group_name_Hall '-I 4 2'
_cell_length_a 8.0588
_cell_length_b 8.0588
_cell_length_c 3.8628
_cell_angle_alpha 90.00
_cell_angle_beta 90.00
_cell_angle_gamma 90.00
loop_
_atom_site_label
_atom_site_type_symbol
_atom_site_fract_x
_atom_site_fract_y
_atom_site_fract_z
_atom_site_occupancy
Cr1 Cr 0.0000 0.3566 0.0000 1
Pt1 Pt 0.0000 0.0000 0.0000 1
Pt2 Pt 0.1707 0.1707 0.5000 1



# 5
# AcPmGaSi | the Alexandria database | PBE | relaxed
# DOS at the Fermi energy = 0.783 states/eV/atom
# E_form (uncorrected) = -0.618 eV per atom
data_AcPmGaSi
_space_group_name_H-M_alt 'A m m 2'
_space_group_IT_number 38
_space_group_name_Hall 'A 2 -2'
_cell_length_a 4.1198
_cell_length_b 4.5402
_cell_length_c 11.6679
_cell_angle_alpha 90.00
_cell_angle_beta 90.00
_cell_angle_gamma 90.00
loop_
_atom_site_label
_atom_site_type_symbol
_atom_site_fract_x
_atom_site_fract_y
_atom_site_fract_z
_atom_site_occupancy
Ac1 Ac 0.0000 0.0000 0.0000 1
Pm1 Pm 0.5000 0.0000 0.2832 1
Ga1 Ga 0.5000 0.0000 0.5857 1
Si1 Si 0.0000 0.0000 0.7200 1



# 6
# Sn2HPd2 | the Alexandria database | PBE | relaxed
# total DFT energy (no corrections) = -4.261 eV per atom
# DOS at the Fermi energy = 0.480 states/eV/atom
data_Sn2HPd2
_space_group_name_H-M_alt 'P 4/m b m'
_space_group_IT_number 127
_space_group_name_Hall '-P 4 2ab'
_cell_length_a 7.3702
_cell_length_b 7.3702
_cell_length_c 3.4255
_cell_angle_alpha 90.00
_cell_angle_beta 90.00
_cell_angle_gamma 90.00
loop_
_atom_site_label
_atom_site_type_symbol
_atom_site_fract_x
_atom_site_fract_y
_atom_site_fract_z
_atom_site_occupancy
Sn1 Sn 0.1602 0.3398 0.0000 1
H1 H 0.0000 0.0000 0.5000 1
Pd1 Pd 0.1394 0.6394 0.5000 1



# 7
# LiZnIr2 | the Alexandria database | PBE | relaxed
# calculated formation energy = -0.159 eV/atom
# DOS at the Fermi energy = 0.753 states/eV/atom
data_LiZnIr2
_space_group_name_H-M_alt 'I m m m'
_space_group_IT_number 71
_space_group_name_Hall '-I 2 2'
_cell_length_a 2.8238
_cell_length_b 4.5694
_cell_length_c 8.7786
_cell_angle_alpha 90.00
_cell_angle_beta 90.00
_cell_angle_gamma 90.00
loop_
_atom_site_label
_atom_site_type_symbol
_atom_site_fract_x
_atom_site_fract_y
_atom_site_fract_z
_atom_site_occupancy
Li1 Li 0.0000 0.0000 0.0000 1
Zn1 Zn 0.0000 0.0000 0.5000 1
Ir1 Ir 0.0000 0.5000 0.2396 1



# 8
# PmSc2Ni9 | the Alexandria database | PBE | relaxed
# calculated formation energy = -0.427 eV/atom
# DOS at the Fermi energy = 1.309 states/eV/atom
data_PmSc2Ni9
_space_group_name_H-M_alt 'R -3 m'
_space_group_IT_number 166
_space_group_name_Hall '-R 3 2"'
_cell_length_a 4.9069
_cell_length_b 4.9069
_cell_length_c 23.8342
_cell_angle_alpha 90.00
_cell_angle_beta 90.00
_cell_angle_gamma 120.00
loop_
_atom_site_label
_atom_site_type_symbol
_atom_site_fract_x
_atom_site_fract_y
_atom_site_fract_z
_atom_site_occupancy
Pm1 Pm 0.0000 0.0000 0.0000 1
Sc1 Sc 0.0000 0.0000 0.1418 1
Ni1 Ni 0.0000 0.0000 0.3332 1
Ni2 Ni 0.0000 0.0000 0.5000 1
Ni3 Ni 0.0030 0.5015 0.9147 1



# 9
# Sm6Pb3C | the Alexandria database | PBE | relaxed
# calculated formation energy = -0.299 eV/atom
# DOS at the Fermi energy = 0.835 states/eV/atom
data_Sm6Pb3C
_space_group_name_H-M_alt 'C 1 2/m 1'
_space_group_IT_number 12
_space_group_name_Hall '-C 2y'
_cell_length_a 11.9411
_cell_length_b 6.8942
_cell_length_c 7.6149
_cell_angle_alpha 90.00
_cell_angle_beta 105.89
_cell_angle_gamma 90.00
loop_
_atom_site_label
_atom_site_type_symbol
_atom_site_fract_x
_atom_site_fract_y
_atom_site_fract_z
_atom_site_occupancy
Sm1 Sm 0.1004 0.2495 0.3663 1
Sm2 Sm 0.1644 0.5000 0.8133 1
Pb1 Pb 0.0000 0.0000 0.0000 1
Pb2 Pb 0.1810 0.0000 0.7422 1
C1 C 0.0000 0.5000 0.5000 1



# 10
# Rh4C5 | the Alexandria database | PBE | relaxed
# calculated formation energy = 0.803 eV/atom
# DOS at the Fermi energy = 0.795 states/eV/atom
data_Rh4C5
_space_group_name_H-M_alt 'I 4/m m m'
_space_group_IT_number 139
_space_group_name_Hall '-I 4 2'
_cell_length_a 9.6639
_cell_length_b 9.6639
_cell_length_c 2.5929
_cell_angle_alpha 90.00
_cell_angle_beta 90.00
_cell_angle_gamma 90.00
loop_
_atom_site_label
_atom_site_type_symbol
_atom_site_fract_x
_atom_site_fract_y
_atom_site_fract_z
_atom_site_occupancy
Rh1 Rh 0.0000 0.1982 0.0000 1
C1 C 0.0000 0.0000 0.0000 1
C2 C 0.2245 0.2245 0.0000 1



# 11
# CdCo2W | the Alexandria database | PBE | relaxed
# calculated formation energy = 0.375 eV/atom
# DOS at the Fermi energy = 0.960 states/eV/atom
data_CdCo2W
_space_group_name_H-M_alt 'C m m m'
_space_group_IT_number 65
_space_group_name_Hall '-C 2 2'
_cell_length_a 5.7800
_cell_length_b 7.0228
_cell_length_c 2.7430
_cell_angle_alpha 90.00
_cell_angle_beta 90.00
_cell_angle_gamma 90.00
loop_
_atom_site_label
_atom_site_type_symbol
_atom_site_fract_x
_atom_site_fract_y
_atom_site_fract_z
_atom_site_occupancy
Cd1 Cd 0.0000 0.0000 0.0000 1
Co1 Co 0.2500 0.2500 0.5000 1
W1 W 0.0000 0.5000 0.0000 1



# 12
# KNa2TcOs | the Alexandria database | PBE | relaxed
# calculated formation energy = 2.318 eV/atom
# DOS at the Fermi energy = 0.931 states/eV/atom
data_KNa2TcOs
_space_group_name_H-M_alt 'P 4/m m m'
_space_group_IT_number 123
_space_group_name_Hall '-P 4 2'
_cell_length_a 4.5159
_cell_length_b 4.5159
_cell_length_c 5.0561
_cell_angle_alpha 90.00
_cell_angle_beta 90.00
_cell_angle_gamma 90.00
loop_
_atom_site_label
_atom_site_type_symbol
_atom_site_fract_x
_atom_site_fract_y
_atom_site_fract_z
_atom_site_occupancy
K1 K 0.0000 0.0000 0.0000 1
Na1 Na 0.0000 0.5000 0.0000 1
Tc1 Tc 0.0000 0.0000 0.5000 1
Os1 Os 0.5000 0.5000 0.5000 1



# 13
# InMo2Os2 | the Alexandria database | PBE | relaxed
# calculated formation energy = 0.196 eV/atom
# DOS at the Fermi energy = 0.548 states/eV/atom
data_InMo2Os2
_space_group_name_H-M_alt 'P 4/m b m'
_space_group_IT_number 127
_space_group_name_Hall '-P 4 2ab'
_cell_length_a 7.6568
_cell_length_b 7.6568
_cell_length_c 2.8778
_cell_angle_alpha 90.00
_cell_angle_beta 90.00
_cell_angle_gamma 90.00
loop_
_atom_site_label
_atom_site_type_symbol
_atom_site_fract_x
_atom_site_fract_y
_atom_site_fract_z
_atom_site_occupancy
In1 In 0.0000 0.0000 0.0000 1
Mo1 Mo 0.1611 0.3389 0.5000 1
Os1 Os 0.1282 0.6282 0.0000 1



# 14
# PmNp2Se4 | the Alexandria database | PBE | relaxed
# DOS at the Fermi energy = 2.919 states/eV/atom
# E_form (uncorrected) = -1.351 eV per atom
data_PmNp2Se4
_space_group_name_H-M_alt 'C m c m'
_space_group_IT_number 63
_space_group_name_Hall '-C 2c 2'
_cell_length_a 4.0396
_cell_length_b 13.5577
_cell_length_c 13.8872
_cell_angle_alpha 90.00
_cell_angle_beta 90.00
_cell_angle_gamma 90.00
loop_
_atom_site_label
_atom_site_type_symbol
_atom_site_fract_x
_atom_site_fract_y
_atom_site_fract_z
_atom_site_occupancy
Pm1 Pm 0.0000 0.1191 0.2500 1
Np1 Np 0.0000 0.3659 0.0661 1
Se1 Se 0.0000 0.0000 0.0000 1
Se2 Se 0.0000 0.2755 0.6244 1
Se3 Se 0.0000 0.4613 0.2500 1



# 15
# Li2VMo | the Alexandria database | PBE | relaxed
# calculated formation energy = 0.789 eV/atom
# DOS at the Fermi energy = 0.548 states/eV/atom
data_Li2VMo
_space_group_name_H-M_alt 'I -4 2 d'
_space_group_IT_number 122
_space_group_name_Hall 'I -4 2bw'
_cell_length_a 7.0411
_cell_length_b 7.0411
_cell_length_c 4.7092
_cell_angle_alpha 90.00
_cell_angle_beta 90.00
_cell_angle_gamma 90.00
loop_
_atom_site_label
_atom_site_type_symbol
_atom_site_fract_x
_atom_site_fract_y
_atom_site_fract_z
_atom_site_occupancy
Li1 Li 0.2428 0.2500 0.1250 1
V1 V 0.0000 0.0000 0.0000 1
Mo1 Mo 0.0000 0.0000 0.5000 1



# 16
# ZrAsIr4 | the Alexandria database | PBE | relaxed
# calculated formation energy = -0.086 eV/atom
# DOS at the Fermi energy = 0.934 states/eV/atom
data_ZrAsIr4
_space_group_name_H-M_alt 'F -4 3 m'
_space_group_IT_number 216
_space_group_name_Hall 'F -4 2 3'
_cell_length_a 7.4120
_cell_length_b 7.4120
_cell_length_c 7.4120
_cell_angle_alpha 90.00
_cell_angle_beta 90.00
_cell_angle_gamma 90.00
loop_
_atom_site_label
_atom_site_type_symbol
_atom_site_fract_x
_atom_site_fract_y
_atom_site_fract_z
_atom_site_occupancy
Zr1 Zr 0.0000 0.0000 0.0000 1
As1 As 0.2500 0.2500 0.7500 1
Ir1 Ir 0.1249 0.1249 0.3751 1



# 17
# NbIrAu | the Alexandria database | PBE | relaxed
# calculated formation energy = -0.103 eV/atom
# DOS at the Fermi energy = 0.469 states/eV/atom
data_NbIrAu
_space_group_name_H-M_alt 'P 3 m 1'
_space_group_IT_number 156
_space_group_name_Hall 'P 3 -2"'
_cell_length_a 4.5208
_cell_length_b 4.5208
_cell_length_c 2.8720
_cell_angle_alpha 90.00
_cell_angle_beta 90.00
_cell_angle_gamma 120.00
loop_
_atom_site_label
_atom_site_type_symbol
_atom_site_fract_x
_atom_site_fract_y
_atom_site_fract_z
_atom_site_occupancy
Nb1 Nb 0.0000 0.0000 0.0000 1
Ir1 Ir 0.6667 0.3333 0.1675 1
Au1 Au 0.3333 0.6667 0.5715 1



# 18
# NdSmErAl | the Alexandria database | PBE | relaxed
# calculated formation energy = -0.065 eV/atom
# DOS at the Fermi energy = 1.638 states/eV/atom
data_NdSmErAl
_space_group_name_H-M_alt 'F -4 3 m'
_space_group_IT_number 216
_space_group_name_Hall 'F -4 2 3'
_cell_length_a 7.6691
_cell_length_b 7.6691
_cell_length_c 7.6691
_cell_angle_alpha 90.00
_cell_angle_beta 90.00
_cell_angle_gamma 90.00
loop_
_atom_site_label
_atom_site_type_symbol
_atom_site_fract_x
_atom_site_fract_y
_atom_site_fract_z
_atom_site_occupancy
Nd1 Nd 0.0000 0.0000 0.0000 1
Sm1 Sm 0.0000 0.0000 0.5000 1
Er1 Er 0.2500 0.2500 0.2500 1
Al1 Al 0.2500 0.2500 0.7500 1



# 19
# AcLaPb2 | the Alexandria database | PBE | relaxed
# calculated formation energy = -0.535 eV/atom
# DOS at the Fermi energy = 0.748 states/eV/atom
data_AcLaPb2
_space_group_name_H-M_alt 'P 4/m m m'
_space_group_IT_number 123
_space_group_name_Hall '-P 4 2'
_cell_length_a 3.7979
_cell_length_b 3.7979
_cell_length_c 9.3273
_cell_angle_alpha 90.00
_cell_angle_beta 90.00
_cell_angle_gamma 90.00
loop_
_atom_site_label
_atom_site_type_symbol
_atom_site_fract_x
_atom_site_fract_y
_atom_site_fract_z
_atom_site_occupancy
Ac1 Ac 0.0000 0.0000 0.0000 1
La1 La 0.0000 0.0000 0.5000 1
Pb1 Pb 0.5000 0.5000 0.2573 1



# 20
# Ho5NiRu4 | the Alexandria database | PBE | relaxed
# calculated formation energy = -0.398 eV/atom
# DOS at the Fermi energy = 0.712 states/eV/atom
data_Ho5NiRu4
_space_group_name_H-M_alt 'P 4/m m m'
_space_group_IT_number 123
_space_group_name_Hall '-P 4 2'
_cell_length_a 3.3967
_cell_length_b 3.3967
_cell_length_c 16.7595
_cell_angle_alpha 90.00
_cell_angle_beta 90.00
_cell_angle_gamma 90.00
loop_
_atom_site_label
_atom_site_type_symbol
_atom_site_fract_x
_atom_site_fract_y
_atom_site_fract_z
_atom_site_occupancy
Ho1 Ho 0.0000 0.0000 0.0000 1
Ho2 Ho 0.0000 0.0000 0.2009 1
Ho3 Ho 0.0000 0.0000 0.4002 1
Ni1 Ni 0.5000 0.5000 0.5000 1
Ru1 Ru 0.5000 0.5000 0.1008 1
Ru2 Ru 0.5000 0.5000 0.3051 1